{
  "formula": "MnHg2Pt",
  "functional": "PBEsol",
  "state": "optimized geometry",
  "lattice_angstrom": [[-1.073, 2.314, 1.542], [1.174, -1.122, 2.499], [6.724, 4.019, -1.354]],
  "species": ["Hg", "Hg", "Mn", "Pt"],
  "fractional_positions": [[0.500, 0.500, 0.280], [0.000, 0.000, 0.976], [0.000, 0.000, 0.525], [0.500, 0.500, 0.719]],
  "formation_energy_mev_per_atom": 45,
  "sg": "P4mm, No. 99",
  "vol_a3_per_cell": 70.6
}

{
  "formula": "MnHgPt2",
  "functional": "PBEsol",
  "state": "optimized geometry",
  "lattice_angstrom": [[-0.788, 3.969, -0.208], [-3.968, -0.773, 0.281], [2.600, -1.354, 3.774]],
  "species": ["Mn", "Pt", "Pt", "Hg"],
  "fractional_positions": [[0.500, 0.500, 0.000], [0.250, 0.750, 0.500], [0.750, 0.250, 0.500], [0.000, 0.000, 0.000]],
  "formation_energy_mev_per_atom": -131,
  "sg": "I4/mmm, No. 139",
  "vol_a3_per_cell": 62.8
}

{
  "formula": "Mn2ReHg",
  "functional": "PBEsol",
  "state": "optimized geometry",
  "lattice_angstrom": [[2.927, 0.000, 0.000], [0.000, 4.376, 0.000], [-1.463, -2.188, 4.427]],
  "species": ["Mn", "Mn", "Re", "Hg"],
  "fractional_positions": [[0.750, 0.250, 0.499], [0.019, 0.019, 0.037], [0.477, 0.477, 0.953], [0.255, 0.755, 0.510]],
  "formation_energy_mev_per_atom": 529,
  "sg": "Imm2, No. 44",
  "vol_a3_per_cell": 56.7
}

{
  "formula": "MnReHg2",
  "functional": "PBEsol",
  "state": "optimized geometry",
  "lattice_angstrom": [[4.572, 0.000, 0.000], [2.286, 3.959, 0.000], [2.286, 1.320, 3.733]],
  "species": ["Mn", "Hg", "Hg", "Re"],
  "fractional_positions": [[0.000, 0.000, 0.000], [0.750, 0.750, 0.750], [0.250, 0.250, 0.250], [0.500, 0.500, 0.500]],
  "formation_energy_mev_per_atom": 854,
  "sg": "Fm-3m, No. 225",
  "vol_a3_per_cell": 67.6
}

{
  "formula": "MnHgRh",
  "functional": "PBEsol",
  "state": "optimized geometry",
  "lattice_angstrom": [[-1.290, 2.489, -1.440], [-2.831, -0.820, 1.117], [2.812, 1.758, 3.969]],
  "species": ["Mn", "Rh", "Hg"],
  "fractional_positions": [[0.681, 0.681, 0.363], [0.316, 0.316, 0.631], [0.003, 0.003, 0.006]],
  "formation_energy_mev_per_atom": 91,
  "sg": "I4mm, No. 107",
  "vol_a3_per_cell": 46.4
}

{
  "formula": "MnHgRh2",
  "functional": "PBEsol",
  "state": "optimized geometry",
  "lattice_angstrom": [[2.936, 0.000, 0.000], [0.000, 2.936, 0.000], [0.000, 0.000, 6.825]],
  "species": ["Rh", "Hg", "Rh", "Mn"],
  "fractional_positions": [[0.000, 0.000, 0.711], [0.500, 0.500, 0.000], [0.000, 0.000, 0.289], [0.500, 0.500, 0.500]],
  "formation_energy_mev_per_atom": 12,
  "sg": "P4/mmm, No. 123",
  "vol_a3_per_cell": 58.8
}

Please write out number 3 again, unchanged.
{
  "formula": "Mn2ReHg",
  "functional": "PBEsol",
  "state": "optimized geometry",
  "lattice_angstrom": [[2.927, 0.000, 0.000], [0.000, 4.376, 0.000], [-1.463, -2.188, 4.427]],
  "species": ["Mn", "Mn", "Re", "Hg"],
  "fractional_positions": [[0.750, 0.250, 0.499], [0.019, 0.019, 0.037], [0.477, 0.477, 0.953], [0.255, 0.755, 0.510]],
  "formation_energy_mev_per_atom": 529,
  "sg": "Imm2, No. 44",
  "vol_a3_per_cell": 56.7
}

Q: What is the formula in the first record?
A: MnHg2Pt